Entry 1:
Ac2Mg15Hg2 after structural relaxation. Source: the Alexandria database, functional GGA-PBE.

Structure (POSCAR):
```
Ac2Mg15Hg2
1.0
5.1908 2.9969 5.0983
-5.1908 2.9969 5.0983
0.0000 -5.9939 5.0983
Ac Mg Hg
2 15 2
direct
0.1685 0.1685 0.1685 Ac
0.8315 0.8315 0.8315 Ac
0.0000 0.5000 0.5000 Mg
0.1508 0.1508 0.6587 Mg
0.1508 0.6587 0.1508 Mg
0.2049 0.5000 0.7951 Mg
0.2049 0.7951 0.5000 Mg
0.3413 0.8492 0.8492 Mg
0.5000 0.0000 0.5000 Mg
0.5000 0.2049 0.7951 Mg
0.5000 0.5000 0.0000 Mg
0.5000 0.7951 0.2049 Mg
0.6587 0.1508 0.1508 Mg
0.7951 0.2049 0.5000 Mg
0.7951 0.5000 0.2049 Mg
0.8492 0.3413 0.8492 Mg
0.8492 0.8492 0.3413 Mg
0.3963 0.3963 0.3963 Hg
0.6037 0.6037 0.6037 Hg
```

Results
SG: No. 166
Crystal system: trigonal
Size of the total moment (μB/atom): 0.00
DOS(E_F) (states/eV/f.u.): 8.19
E_form (eV/atom): -0.126

---

Entry 2:
Sm4Se5I after structural relaxation. Source: the Alexandria database, functional GGA-PBE.

Structure (POSCAR):
```
Sm4Se5I
1.0
8.7188 0.0000 0.0000
0.0000 10.7892 0.0000
0.0000 0.0000 7.1962
Sm Se I
8 10 2
direct
0.0288 0.2500 0.0060 Sm
0.2500 0.0229 0.5024 Sm
0.2500 0.4771 0.5024 Sm
0.4712 0.2500 0.0060 Sm
0.5288 0.7500 0.9940 Sm
0.7500 0.5229 0.4976 Sm
0.7500 0.9771 0.4976 Sm
0.9712 0.7500 0.9940 Sm
0.0079 0.5543 0.2467 Se
0.0079 0.9457 0.2467 Se
0.2500 0.2500 0.3026 Se
0.4921 0.5543 0.2467 Se
0.4921 0.9457 0.2467 Se
0.5079 0.0543 0.7533 Se
0.5079 0.4457 0.7533 Se
0.7500 0.7500 0.6974 Se
0.9921 0.0543 0.7533 Se
0.9921 0.4457 0.7533 Se
0.2500 0.7500 0.6981 I
0.7500 0.2500 0.3019 I
```

Results
SG: No. 59
Crystal system: orthorhombic
Size of the total moment (μB/atom): 0.10
DOS(E_F) (states/eV/f.u.): 0.42
DFT total energy (hartree per atom): -0.1965

---

Entry 3:
Tc2OsPb after structural relaxation. Source: the Alexandria database, functional GGA-PBE.

Structure (POSCAR):
```
Tc2OsPb
1.0
-1.5733 2.3036 4.5462
1.5733 -2.3036 4.5462
1.5733 2.3036 -4.5462
Tc Os Pb
2 1 1
direct
0.0000 0.0000 0.0000 Tc
0.7489 0.2489 0.5000 Tc
0.2519 0.7519 0.5000 Os
0.5004 0.5004 0.0000 Pb
```

Results
SG: No. 44
Crystal system: orthorhombic
Size of the total moment (μB/atom): 0.00
DOS(E_F) (states/eV/f.u.): 4.40
E_form (eV/atom): 0.762